# 1
DFT (PBE-GGA) results for crystalline GaGe2Mo at its relaxed geometry.

space-group type	No. 166
volume	18.0	Å³ per atom
VASP energy	-5.70	eV per atom
crystal system	trigonal
DFT formation energy	7.2	kJ per mole of atoms

Cell and atoms, written as extended XYZ:
```
12
Lattice="3.064 0.000 0.000 -1.532 2.653 0.000 0.000 0.000 26.642" Properties=species:S:1:pos:R:3 pbc="T T T"
Ga 0.000 0.000 0.000
Ga 0.000 1.769 17.762
Ga 1.532 0.884 8.881
Ge 0.000 0.000 2.535
Ge 0.000 0.000 24.107
Ge 0.000 1.769 15.226
Ge 0.000 1.769 20.297
Ge 1.532 0.884 6.346
Ge 1.532 0.884 11.416
Mo 0.000 0.000 13.321
Mo 0.000 1.769 4.440
Mo 1.532 0.884 22.202
```

***

# 2
DFT (PBE-GGA) results for crystalline GaGe2Mo at its relaxed geometry.

space-group type	No. 160
volume	17.7	Å³ per atom
VASP energy	-5.64	eV per atom
crystal system	trigonal
DFT formation energy	12.8	kJ per mole of atoms

Cell and atoms, written as extended XYZ:
```
12
Lattice="3.120 0.000 0.000 -1.560 2.702 0.000 0.000 0.000 25.170" Properties=species:S:1:pos:R:3 pbc="T T T"
Ga 0.000 0.000 0.000
Ga 0.000 1.801 16.780
Ga 1.560 0.901 8.390
Ge 0.000 0.000 14.458
Ge 0.000 0.000 19.045
Ge 0.000 1.801 6.068
Ge 0.000 1.801 10.655
Ge 1.560 0.901 2.265
Ge 1.560 0.901 22.848
Mo 0.000 0.000 4.158
Mo 0.000 1.801 20.938
Mo 1.560 0.901 12.548
```

***

# 3
DFT (PBE-GGA) results for crystalline Ga3GeMo at its relaxed geometry.

space-group type	No. 221
volume	23.2	Å³ per atom
VASP energy	-3.82	eV per atom
crystal system	cubic
DFT formation energy	104.4	kJ per mole of atoms

Cell and atoms, written as extended XYZ:
```
5
Lattice="4.875 0.000 0.000 0.000 4.875 0.000 0.000 0.000 4.875" Properties=species:S:1:pos:R:3 pbc="T T T"
Ga 0.000 0.000 2.438
Ga 0.000 2.438 0.000
Ga 2.438 0.000 0.000
Ge 0.000 0.000 0.000
Mo 2.438 2.438 2.438
```

***

# 4
DFT (PBE-GGA) results for crystalline GaGeMo at its relaxed geometry.

space-group type	No. 2
volume	16.1	Å³ per atom
VASP energy	-6.19	eV per atom
crystal system	triclinic
DFT formation energy	-2.7	kJ per mole of atoms

Cell and atoms, written as extended XYZ:
```
6
Lattice="3.312 0.000 0.000 -1.629 4.716 0.000 -0.036 -2.259 6.199" Properties=species:S:1:pos:R:3 pbc="T T T"
Ga -0.016 -0.440 1.977
Ga 1.663 2.897 4.221
Ge -0.019 1.130 5.882
Ge 1.667 1.327 0.316
Mo 0.004 2.159 2.203
Mo 1.643 0.298 3.996
```

***

# 5
DFT (PBE-GGA) results for crystalline Ga2GeMo2 at its relaxed geometry.

space-group type	No. 127
volume	15.8	Å³ per atom
VASP energy	-6.21	eV per atom
crystal system	tetragonal
DFT formation energy	24.8	kJ per mole of atoms

Cell and atoms, written as extended XYZ:
```
10
Lattice="6.681 0.000 0.000 0.000 6.681 0.000 0.000 0.000 3.532" Properties=species:S:1:pos:R:3 pbc="T T T"
Ga 0.862 2.478 0.000
Ga 2.478 5.818 0.000
Ga 4.203 0.862 0.000
Ga 5.818 4.203 0.000
Ge 0.000 0.000 0.000
Ge 3.340 3.340 0.000
Mo 1.160 4.501 1.766
Mo 2.180 1.160 1.766
Mo 4.501 5.520 1.766
Mo 5.520 2.180 1.766
```

***

# 6
DFT (PBE-GGA) results for crystalline GaGe3Mo at its relaxed geometry.

space-group type	No. 221
volume	23.7	Å³ per atom
VASP energy	-5.20	eV per atom
crystal system	cubic
DFT formation energy	33.5	kJ per mole of atoms

Cell and atoms, written as extended XYZ:
```
5
Lattice="4.914 0.000 0.000 0.000 4.914 0.000 0.000 0.000 4.914" Properties=species:S:1:pos:R:3 pbc="T T T"
Ga 0.000 0.000 0.000
Ge 0.000 2.457 2.457
Ge 2.457 0.000 2.457
Ge 2.457 2.457 0.000
Mo 2.457 2.457 2.457
```

***

# 7
DFT (PBE-GGA) results for crystalline Ga3Ge2Mo3 at its relaxed geometry.

space-group type	No. 11
volume	15.7	Å³ per atom
VASP energy	-6.29	eV per atom
crystal system	monoclinic
DFT formation energy	6.0	kJ per mole of atoms

Cell and atoms, written as extended XYZ:
```
16
Lattice="4.638 0.000 0.000 0.000 11.245 0.000 -0.212 0.000 4.815" Properties=species:S:1:pos:R:3 pbc="T T T"
Ga 0.972 2.811 0.666
Ga 1.133 5.701 0.729
Ga 1.133 11.166 0.729
Ga 3.294 0.079 4.086
Ga 3.294 5.544 4.086
Ga 3.455 8.434 4.149
Ge 1.157 7.031 3.225
Ge 1.157 9.837 3.225
Ge 3.270 1.408 1.590
Ge 3.270 4.214 1.590
Mo 0.867 1.386 3.085
Mo 0.867 4.236 3.085
Mo 1.316 8.434 0.856
Mo 3.111 2.811 3.959
Mo 3.560 7.008 1.730
Mo 3.560 9.859 1.730
```

***

# 8
DFT (PBE-GGA) results for crystalline GaGeMo at its relaxed geometry.

space-group type	No. 156
volume	16.3	Å³ per atom
VASP energy	-5.95	eV per atom
crystal system	trigonal
DFT formation energy	19.8	kJ per mole of atoms

Cell and atoms, written as extended XYZ:
```
3
Lattice="4.495 0.000 0.000 -2.247 3.892 0.000 0.000 0.000 2.794" Properties=species:S:1:pos:R:3 pbc="T T T"
Ga 0.000 0.000 0.000
Ge 0.000 2.595 1.548
Mo 2.247 1.297 1.394
```